Entry 1:
Below is crystalline SrNpZnO6 at its relaxed geometry, with properties calculated at the PBE level.

CIF file:
```
data_SrNpZnO6
_chemical_formula_sum 'Sr2 Np2 Zn2 O12'
_cell_length_a 5.385
_cell_length_b 5.385
_cell_length_c 10.966
_cell_angle_alpha 90.00
_cell_angle_beta 90.00
_cell_angle_gamma 120.00
_symmetry_space_group_name_H-M 'P 1'
_symmetry_Int_Tables_number 1
loop_
_symmetry_equiv_pos_as_xyz
'x,y,z'
loop_
_atom_site_label
_atom_site_type_symbol
_atom_site_fract_x
_atom_site_fract_y
_atom_site_fract_z
Sr1 Sr 0.000 0.000 0.000
Sr2 Sr 0.000 0.000 0.500
Np1 Np 0.333 0.667 0.250
Np2 Np 0.667 0.333 0.750
Zn1 Zn 0.333 0.667 0.750
Zn2 Zn 0.667 0.333 0.250
O1 O 0.013 0.374 0.146
O2 O 0.013 0.639 0.354
O3 O 0.361 0.374 0.354
O4 O 0.361 0.987 0.146
O5 O 0.374 0.013 0.646
O6 O 0.374 0.361 0.854
O7 O 0.626 0.639 0.146
O8 O 0.626 0.987 0.354
O9 O 0.639 0.013 0.854
O10 O 0.639 0.626 0.646
O11 O 0.987 0.361 0.646
O12 O 0.987 0.626 0.854
```

Properties
For the total energy, the calculation gives -7.246 eV/atom. The spin magnetization comes out at 2.03 Bohr magnetons per cell. For the formation energy (no corrections), the calculation gives -2.17 eV per atom.


Entry 2:
Below is crystalline MnSe at its relaxed geometry, with properties calculated at the PBE level.

CIF file:
```
data_MnSe
_chemical_formula_sum 'Mn2 Se2'
_cell_length_a 8.408
_cell_length_b 8.408
_cell_length_c 8.408
_cell_angle_alpha 22.14
_cell_angle_beta 22.14
_cell_angle_gamma 22.14
_symmetry_space_group_name_H-M 'P 1'
_symmetry_Int_Tables_number 1
loop_
_symmetry_equiv_pos_as_xyz
'x,y,z'
loop_
_atom_site_label
_atom_site_type_symbol
_atom_site_fract_x
_atom_site_fract_y
_atom_site_fract_z
Mn1 Mn 0.126 0.126 0.126
Mn2 Mn 0.874 0.874 0.874
Se1 Se 0.400 0.400 0.400
Se2 Se 0.600 0.600 0.600
```

Properties
For the total energy, the calculation gives -6.420 eV/atom. The spin magnetization comes out at 4.58 Bohr magnetons per cell. For the formation energy (no corrections), the calculation gives -0.09 eV per atom.


Entry 3:
Below is crystalline Pm4AlIn at its relaxed geometry, with properties calculated at the PBE level.

CIF file:
```
data_Pm4AlIn
_chemical_formula_sum 'Pm4 Al1 In1'
_cell_length_a 3.765
_cell_length_b 5.830
_cell_length_c 8.704
_cell_angle_alpha 90.00
_cell_angle_beta 90.00
_cell_angle_gamma 90.00
_symmetry_space_group_name_H-M 'P 1'
_symmetry_Int_Tables_number 1
loop_
_symmetry_equiv_pos_as_xyz
'x,y,z'
loop_
_atom_site_label
_atom_site_type_symbol
_atom_site_fract_x
_atom_site_fract_y
_atom_site_fract_z
Pm1 Pm 0.000 0.000 0.201
Pm2 Pm 0.000 0.000 0.799
Pm3 Pm 0.500 0.500 0.282
Pm4 Pm 0.500 0.500 0.718
Al1 Al 0.000 0.500 0.000
In1 In 0.500 0.000 0.500
```

Properties
For the total energy, the calculation gives -4.296 eV/atom. The spin magnetization comes out at 0.00 Bohr magnetons per cell. Its formation energy is -0.048 eV per atom. The calculation puts the polymorph energy (0 for the lowest one) at 0.0177 eV/atom.


Entry 4:
Below is crystalline BaSr5Cd6 at its relaxed geometry, with properties calculated at the PBE level.

CIF file:
```
data_BaSr5Cd6
_chemical_formula_sum 'Ba1 Sr5 Cd6'
_cell_length_a 9.193
_cell_length_b 9.193
_cell_length_c 8.093
_cell_angle_alpha 90.00
_cell_angle_beta 90.00
_cell_angle_gamma 142.99
_symmetry_space_group_name_H-M 'P 1'
_symmetry_Int_Tables_number 1
loop_
_symmetry_equiv_pos_as_xyz
'x,y,z'
loop_
_atom_site_label
_atom_site_type_symbol
_atom_site_fract_x
_atom_site_fract_y
_atom_site_fract_z
Ba1 Ba 0.000 0.000 0.000
Sr1 Sr 0.000 0.000 0.500
Sr2 Sr 0.332 0.668 0.000
Sr3 Sr 0.334 0.666 0.500
Sr4 Sr 0.666 0.334 0.500
Sr5 Sr 0.668 0.332 0.000
Cd1 Cd 0.169 0.831 0.255
Cd2 Cd 0.169 0.831 0.745
Cd3 Cd 0.500 0.500 0.257
Cd4 Cd 0.500 0.500 0.743
Cd5 Cd 0.831 0.169 0.255
Cd6 Cd 0.831 0.169 0.745
```

Properties
For the total energy, the calculation gives -1.648 eV/atom. The spin magnetization comes out at 0.00 Bohr magnetons per cell. Its formation energy is -0.329 eV per atom.


Entry 5:
Below is crystalline TiNi4Pt at its relaxed geometry, with properties calculated at the PBE level.

CIF file:
```
data_TiNi4Pt
_chemical_formula_sum 'Ti1 Ni4 Pt1'
_cell_length_a 4.711
_cell_length_b 4.711
_cell_length_c 4.711
_cell_angle_alpha 60.00
_cell_angle_beta 60.00
_cell_angle_gamma 60.00
_symmetry_space_group_name_H-M 'P 1'
_symmetry_Int_Tables_number 1
loop_
_symmetry_equiv_pos_as_xyz
'x,y,z'
loop_
_atom_site_label
_atom_site_type_symbol
_atom_site_fract_x
_atom_site_fract_y
_atom_site_fract_z
Ti1 Ti 0.000 0.000 0.000
Ni1 Ni 0.375 0.375 0.375
Ni2 Ni 0.375 0.375 0.874
Ni3 Ni 0.375 0.874 0.375
Ni4 Ni 0.874 0.375 0.375
Pt1 Pt 0.750 0.750 0.750
```

Properties
For the total energy, the calculation gives -6.565 eV/atom. The spin magnetization comes out at 0.96 Bohr magnetons per cell. Its formation energy is -0.388 eV per atom. The calculation puts the polymorph energy (0 for the lowest one) at 0.0000 eV/atom.


Entry 6:
Below is crystalline CrSb2Cl at its relaxed geometry, with properties calculated at the PBE level.

CIF file:
```
data_CrSb2Cl
_chemical_formula_sum 'Cr1 Sb2 Cl1'
_cell_length_a 3.449
_cell_length_b 3.449
_cell_length_c 7.599
_cell_angle_alpha 90.00
_cell_angle_beta 90.00
_cell_angle_gamma 90.00
_symmetry_space_group_name_H-M 'P 1'
_symmetry_Int_Tables_number 1
loop_
_symmetry_equiv_pos_as_xyz
'x,y,z'
loop_
_atom_site_label
_atom_site_type_symbol
_atom_site_fract_x
_atom_site_fract_y
_atom_site_fract_z
Cr1 Cr 0.000 0.000 0.000
Sb1 Sb 0.500 0.500 0.203
Sb2 Sb 0.500 0.500 0.797
Cl1 Cl 0.000 0.000 0.500
```

Properties
For the total energy, the calculation gives -4.923 eV/atom. The spin magnetization comes out at 2.83 Bohr magnetons per cell. For the formation energy (no corrections), the calculation gives 0.01 eV per atom. The calculation puts the polymorph energy (0 for the lowest one) at 0.1111 eV/atom.


Entry 7:
Below is crystalline Ti2NbZn at its relaxed geometry, with properties calculated at the PBE level.

CIF file:
```
data_Ti2NbZn
_chemical_formula_sum 'Ti2 Nb1 Zn1'
_cell_length_a 3.301
_cell_length_b 3.301
_cell_length_c 6.124
_cell_angle_alpha 90.00
_cell_angle_beta 90.00
_cell_angle_gamma 90.00
_symmetry_space_group_name_H-M 'P 1'
_symmetry_Int_Tables_number 1
loop_
_symmetry_equiv_pos_as_xyz
'x,y,z'
loop_
_atom_site_label
_atom_site_type_symbol
_atom_site_fract_x
_atom_site_fract_y
_atom_site_fract_z
Ti1 Ti 0.000 0.000 0.247
Ti2 Ti 0.000 0.000 0.753
Nb1 Nb 0.500 0.500 0.000
Zn1 Zn 0.500 0.500 0.500
```

Properties
For the total energy, the calculation gives -6.883 eV/atom. The spin magnetization comes out at 0.00 Bohr magnetons per cell. Its formation energy is -0.099 eV per atom.


Entry 8:
Below is crystalline ZnCu2Ni at its relaxed geometry, with properties calculated at the PBE level.

CIF file:
```
data_ZnCu2Ni
_chemical_formula_sum 'Zn1 Cu2 Ni1'
_cell_length_a 8.544
_cell_length_b 8.544
_cell_length_c 8.544
_cell_angle_alpha 17.37
_cell_angle_beta 17.37
_cell_angle_gamma 17.37
_symmetry_space_group_name_H-M 'P 1'
_symmetry_Int_Tables_number 1
loop_
_symmetry_equiv_pos_as_xyz
'x,y,z'
loop_
_atom_site_label
_atom_site_type_symbol
_atom_site_fract_x
_atom_site_fract_y
_atom_site_fract_z
Zn1 Zn 0.000 0.000 0.000
Cu1 Cu 0.247 0.247 0.247
Cu2 Cu 0.419 0.419 0.419
Ni1 Ni 0.833 0.833 0.833
```

Properties
For the total energy, the calculation gives -3.821 eV/atom. The spin magnetization comes out at 0.21 Bohr magnetons per cell. Its formation energy is -0.009 eV per atom.


Entry 9:
Below is crystalline Lu2ThAl at its relaxed geometry, with properties calculated at the PBE level.

CIF file:
```
data_Lu2ThAl
_chemical_formula_sum 'Lu2 Th1 Al1'
_cell_length_a 4.742
_cell_length_b 4.742
_cell_length_c 4.739
_cell_angle_alpha 90.00
_cell_angle_beta 90.00
_cell_angle_gamma 90.00
_symmetry_space_group_name_H-M 'P 1'
_symmetry_Int_Tables_number 1
loop_
_symmetry_equiv_pos_as_xyz
'x,y,z'
loop_
_atom_site_label
_atom_site_type_symbol
_atom_site_fract_x
_atom_site_fract_y
_atom_site_fract_z
Lu1 Lu 0.000 0.500 0.000
Lu2 Lu 0.500 0.000 0.000
Th1 Th 0.000 0.000 0.500
Al1 Al 0.500 0.500 0.500
```

Properties
For the total energy, the calculation gives -5.189 eV/atom. The spin magnetization comes out at 0.00 Bohr magnetons per cell. Its formation energy is -0.138 eV per atom. The calculation puts the polymorph energy (0 for the lowest one) at 0.0544 eV/atom.


Entry 10:
Below is crystalline BaFeAg2 at its relaxed geometry, with properties calculated at the PBE level.

CIF file:
```
data_BaFeAg2
_chemical_formula_sum 'Ba1 Fe1 Ag2'
_cell_length_a 5.247
_cell_length_b 5.247
_cell_length_c 5.247
_cell_angle_alpha 60.00
_cell_angle_beta 60.00
_cell_angle_gamma 60.00
_symmetry_space_group_name_H-M 'P 1'
_symmetry_Int_Tables_number 1
loop_
_symmetry_equiv_pos_as_xyz
'x,y,z'
loop_
_atom_site_label
_atom_site_type_symbol
_atom_site_fract_x
_atom_site_fract_y
_atom_site_fract_z
Ba1 Ba 0.000 0.000 0.000
Fe1 Fe 0.500 0.500 0.500
Ag1 Ag 0.250 0.250 0.250
Ag2 Ag 0.750 0.750 0.750
```

Properties
For the total energy, the calculation gives -3.518 eV/atom. The spin magnetization comes out at 3.24 Bohr magnetons per cell. Its formation energy is 0.504 eV per atom. The calculation puts the polymorph energy (0 for the lowest one) at 0.3049 eV/atom.